# 1
Crystalline CsAlTe2I at its relaxed geometry. Source: Alexandria, functional PBE.

Cell lengths 7.056, 7.056, 7.344 Å; angles 90.00, 90.00, 90.00 degrees
Fractional positions:
Cs 0.000 0.000 0.000
I 0.000 0.000 0.500
Te 0.000 0.500 0.000
Te 0.500 0.000 0.000
Al 0.500 0.500 0.500

Properties
Formation energy without anion corrections   691 meV/atom
VASP energy   -1.795 eV/atom
V   365.6 Å³ per cell
DOS at the Fermi energy   1.619 states/eV per atom
Space-group type   P4/mmm
Energy above the most stable polymorph in this dataset   1187 meV/atom

---

# 2
Crystalline Ac4TlCd2Pb at its relaxed geometry. Source: Alexandria, functional PBE.

Cell lengths 5.821, 5.821, 10.078 Å; angles 73.22, 73.22, 60.00 degrees
Fractional positions:
Ac 0.375 0.375 0.875
Ac 0.875 0.875 0.375
Ac 0.125 0.125 0.625
Ac 0.625 0.625 0.125
Tl 0.500 0.500 0.500
Cd 0.752 0.752 0.744
Cd 0.248 0.248 0.256
Pb 0.000 0.000 0.000

Properties
VASP energy   -3.406 eV/atom
V   278.8 Å³ per cell
DOS at the Fermi energy   1.409 states/eV per atom
Space-group type   R-3m

---

# 3
Crystalline CsNpGaTe3 at its relaxed geometry. Source: Alexandria, functional PBE.

Cell lengths 4.309, 10.712, 10.890 Å; angles 108.52, 90.00, 90.00 degrees
Fractional positions:
Cs 0.250 0.189 0.232
Cs 0.750 0.811 0.768
Np 0.250 0.651 0.159
Np 0.750 0.349 0.841
Ga 0.250 0.099 0.553
Ga 0.750 0.901 0.447
Te 0.750 0.865 0.179
Te 0.250 0.135 0.821
Te 0.250 0.714 0.449
Te 0.750 0.286 0.551
Te 0.750 0.441 0.140
Te 0.250 0.559 0.860

Properties
Formation energy without anion corrections   -673 meV/atom
VASP energy   -5.047 eV/atom
V   476.6 Å³ per cell
DOS at the Fermi energy   1.657 states/eV per atom
Space-group type   P2_1/m

---

# 4
Crystalline ZrPaCu at its relaxed geometry. Source: Alexandria, functional PBE.

Cell lengths 3.088, 4.830, 4.830 Å; angles 120.00, 90.00, 90.00 degrees
Fractional positions:
Pa 0.034 0.000 0.000
Cu 0.380 0.333 0.667
Zr 0.586 0.667 0.333

Properties
VASP energy   -7.138 eV/atom
V   62.4 Å³ per cell
DOS at the Fermi energy   1.554 states/eV per atom
Space-group type   P3m1
Energy above the most stable polymorph in this dataset   284 meV/atom

---

# 5
Crystalline Li2CaNiH6 at its relaxed geometry. Source: Alexandria, functional PBE.

Cell lengths 5.903, 4.515, 4.515 Å; angles 120.00, 90.00, 90.00 degrees
Fractional positions:
Li 0.079 0.333 0.667
Li 0.921 0.667 0.333
Ca 0.500 0.000 0.000
Ni 0.000 0.000 0.000
H 0.837 0.159 0.318
H 0.837 0.159 0.841
H 0.837 0.682 0.841
H 0.163 0.841 0.159
H 0.163 0.318 0.159
H 0.163 0.841 0.682

Properties
VASP energy   -3.427 eV/atom
V   104.2 Å³ per cell
DOS at the Fermi energy   0.126 states/eV per atom
Space-group type   P-3m1

---

# 6
Crystalline CeTm2UP4 at its relaxed geometry. Source: Alexandria, functional PBE.

Cell lengths 3.971, 6.896, 6.898 Å; angles 109.38, 90.00, 90.00 degrees
Fractional positions:
Ce 0.000 0.000 0.000
Tm 0.500 0.000 0.500
Tm 0.000 0.500 0.500
U 0.500 0.500 0.000
P 0.500 0.257 0.254
P 0.500 0.743 0.746
P 0.000 0.255 0.748
P 0.000 0.745 0.252

Properties
VASP energy   -7.384 eV/atom
V   178.2 Å³ per cell
DOS at the Fermi energy   1.317 states/eV per atom
Space-group type   P2/m

---

# 7
Crystalline CaTa2P at its relaxed geometry. Source: Alexandria, functional PBE.

Cell lengths 4.519, 4.519, 9.832 Å; angles 76.71, 76.71, 90.00 degrees
Fractional positions:
P 0.500 0.500 0.000
P 0.250 0.750 0.500
Ca 0.000 0.000 0.000
Ca 0.750 0.250 0.500
Ta 0.476 0.125 0.250
Ta 0.274 0.625 0.250
Ta 0.375 0.524 0.750
Ta 0.875 0.726 0.750

Properties
VASP energy   -7.266 eV/atom
V   189.9 Å³ per cell
DOS at the Fermi energy   0.780 states/eV per atom
Space-group type   I-42d
Energy above the most stable polymorph in this dataset   663 meV/atom

---

# 8
Crystalline CdHgTe2 at its relaxed geometry. Source: Alexandria, functional PBE.

Cell lengths 8.667, 8.667, 8.667 Å; angles 31.32, 31.32, 31.32 degrees
Fractional positions:
Te 0.891 0.891 0.891
Te 0.109 0.109 0.109
Hg 0.000 0.000 0.000
Cd 0.500 0.500 0.500

Properties
Formation energy without anion corrections   -146 meV/atom
VASP energy   -2.021 eV/atom
V   156.2 Å³ per cell
DOS at the Fermi energy   0.095 states/eV per atom
Space-group type   R-3m
Energy above the most stable polymorph in this dataset   167 meV/atom

---

# 9
Crystalline OsPtW at its relaxed geometry. Source: Alexandria, functional PBE.

Cell lengths 6.239, 6.239, 2.787 Å; angles 77.10, 77.10, 25.81 degrees
Fractional positions:
Os 0.007 0.007 0.993
Pt 0.332 0.332 0.668
W 0.661 0.661 0.339

Properties
VASP energy   -10.126 eV/atom
V   46.0 Å³ per cell
DOS at the Fermi energy   0.627 states/eV per atom
Space-group type   I4mm
Energy above the most stable polymorph in this dataset   72 meV/atom

---

# 10
Crystalline MnSnIrS at its relaxed geometry. Source: Alexandria, functional PBE.

Cell lengths 2.935, 4.040, 6.540 Å; angles 77.93, 89.97, 68.87 degrees
Fractional positions:
S 0.158 0.050 0.562
Ir 0.275 0.815 0.250
Sn 0.941 0.482 0.998
Mn 0.869 0.625 0.582

Properties
Formation energy without anion corrections   -46 meV/atom
VASP energy   -6.586 eV/atom
V   70.5 Å³ per cell
DOS at the Fermi energy   0.340 states/eV per atom
Space-group type   P1
Energy above the most stable polymorph in this dataset   152 meV/atom

---

# 11
Crystalline Sc2ZnPt at its relaxed geometry. Source: Alexandria, functional PBE.

Cell lengths 7.434, 7.434, 6.037 Å; angles 52.00, 52.00, 90.00 degrees
Fractional positions:
Sc 0.653 0.125 0.250
Sc 0.097 0.625 0.250
Sc 0.375 0.347 0.750
Sc 0.875 0.903 0.750
Zn 0.500 0.500 0.000
Zn 0.250 0.750 0.500
Pt 0.000 0.000 0.000
Pt 0.750 0.250 0.500

Properties
VASP energy   -5.346 eV/atom
V   164.0 Å³ per cell
DOS at the Fermi energy   0.802 states/eV per atom
Space-group type   I-42d

---

# 12
Crystalline Ho3TlSb at its relaxed geometry. Source: Alexandria, functional PBE.

Cell lengths 4.325, 9.534, 9.611 Å; angles 112.42, 116.74, 90.00 degrees
Fractional positions:
Ho 0.317 0.371 0.567
Ho 0.802 0.348 0.052
Ho 0.908 0.996 0.158
Ho 0.683 0.629 0.433
Ho 0.092 0.004 0.842
Ho 0.198 0.652 0.948
Tl 0.485 0.743 0.736
Tl 0.515 0.257 0.264
Sb 0.023 0.295 0.774
Sb 0.977 0.705 0.226

Properties
Formation energy without anion corrections   -458 meV/atom
VASP energy   -4.503 eV/atom
V   320.1 Å³ per cell
DOS at the Fermi energy   0.856 states/eV per atom
Space-group type   P2_1/m

---

# 13
Crystalline Sr2ZnCdO4 at its relaxed geometry. Source: Alexandria, functional PBE.

Cell lengths 7.005, 7.005, 7.697 Å; angles 123.28, 123.28, 78.45 degrees
Fractional positions:
Sr 0.500 0.000 0.000
Sr 0.500 0.000 0.500
Sr 0.000 0.000 0.500
Sr 0.500 0.500 0.000
Zn 0.500 0.500 0.500
Zn 0.000 0.000 0.000
Cd 0.000 0.500 0.000
Cd 0.000 0.500 0.500
O 0.233 0.812 0.023
O 0.688 0.267 0.477
O 0.312 0.733 0.523
O 0.767 0.188 0.977
O 0.767 0.733 0.037
O 0.767 0.733 0.463
O 0.233 0.267 0.537
O 0.233 0.267 0.963

Properties
Formation energy without anion corrections   -1880 meV/atom
VASP energy   -5.053 eV/atom
V   261.2 Å³ per cell
DOS at the Fermi energy   0.000 states/eV per atom
Space-group type   Imma

---

# 14
Crystalline RbCaAl2 at its relaxed geometry. Source: Alexandria, functional PBE.

Cell lengths 5.618, 5.618, 5.618 Å; angles 60.00, 60.00, 60.00 degrees
Fractional positions:
Ca 0.000 0.000 0.000
Al 0.250 0.250 0.250
Al 0.750 0.750 0.750
Rb 0.500 0.500 0.500

Properties
VASP energy   -2.256 eV/atom
V   125.4 Å³ per cell
DOS at the Fermi energy   0.882 states/eV per atom
Space-group type   Fm-3m
Energy above the most stable polymorph in this dataset   0 meV/atom